A geometry-optimized LuPuAu2 structure. Source: the Alexandria database, functional GGA-PBE.

Cell: 5.081 5.081 5.081 Å, 60.00 60.00 60.00°
Element x y z (fractional)
Lu: 0.500 0.500 0.500
Au: 0.250 0.250 0.250
Au: 0.750 0.750 0.750
Pu: 0.000 0.000 0.000

## Properties
* density: 14.6 g cm⁻³
* total energy: -27.8 eV/cell
* formation energy from the elements: -0.603 eV per atom
* E above lowest polymorph: 53 meV per atom
* DOS at the Fermi energy: 2.916 states/eV per atom

=====

A geometry-optimized Lu2PuAu structure. Source: the Alexandria database, functional GGA-PBE.

Cell: 3.499 3.499 8.296 Å, 90.00 90.00 90.00°
Element x y z (fractional)
Lu: 0.000 0.000 0.791
Lu: 0.000 0.000 0.209
Au: 0.500 0.500 0.000
Pu: 0.500 0.500 0.500

## Properties
* density: 12.9 g cm⁻³
* total energy: -28.1 eV/cell
* formation energy from the elements: -0.351 eV per atom
* E above lowest polymorph: 0 meV per atom
* DOS at the Fermi energy: 1.678 states/eV per atom

=====

A geometry-optimized LuPu2Au structure. Source: the Alexandria database, functional GGA-PBE.

Cell: 3.397 3.397 10.789 Å, 80.94 80.94 60.00°
Element x y z (fractional)
Au: 0.000 0.000 0.000
Pu: 0.742 0.742 0.773
Pu: 0.258 0.258 0.227
Lu: 0.500 0.500 0.500

## Properties
* density: 13.5 g cm⁻³
* total energy: -36.3 eV/cell
* formation energy from the elements: 0.031 eV per atom
* DOS at the Fermi energy: 4.180 states/eV per atom

=====

A geometry-optimized LuPuAu structure. Source: the Alexandria database, functional GGA-PBE.

Cell: 3.441 4.966 4.966 Å, 120.00 90.00 90.00°
Element x y z (fractional)
Pu: 0.699 0.667 0.333
Au: 0.039 0.000 0.000
Lu: 0.262 0.333 0.667

## Properties
* density: 13.9 g cm⁻³
* total energy: -22.8 eV/cell
* formation energy from the elements: -0.221 eV per atom
* E above lowest polymorph: 147 meV per atom
* DOS at the Fermi energy: 2.963 states/eV per atom

=====

A geometry-optimized LuPuAu structure. Source: the Alexandria database, functional GGA-PBE.

Cell: 3.517 3.517 6.696 Å, 105.23 105.23 90.00°
Element x y z (fractional)
Lu: 0.307 0.307 0.614
Pu: 0.013 0.013 0.027
Au: 0.680 0.680 0.360

## Properties
* density: 13.3 g cm⁻³
* total energy: -23.2 eV/cell
* formation energy from the elements: -0.368 eV per atom
* E above lowest polymorph: 0 meV per atom
* DOS at the Fermi energy: 2.789 states/eV per atom

=====

A geometry-optimized LuPuRhAu structure. Source: the Alexandria database, functional GGA-PBE.

Cell: 4.949 4.949 4.949 Å, 60.00 60.00 60.00°
Element x y z (fractional)
Lu: 0.250 0.250 0.250
Au: 0.500 0.500 0.500
Rh: 0.000 0.000 0.000
Pu: 0.750 0.750 0.750

## Properties
* density: 13.9 g cm⁻³
* total energy: -31.8 eV/cell
* formation energy from the elements: -0.584 eV per atom
* DOS at the Fermi energy: 3.085 states/eV per atom

=====

A geometry-optimized LuPuTlAu structure. Source: the Alexandria database, functional GGA-PBE.

Cell: 5.225 5.225 5.225 Å, 60.00 60.00 60.00°
Element x y z (fractional)
Lu: 0.250 0.250 0.250
Tl: 0.500 0.500 0.500
Pu: 0.750 0.750 0.750
Au: 0.000 0.000 0.000

## Properties
* density: 13.5 g cm⁻³
* total energy: -25.8 eV/cell
* formation energy from the elements: -0.324 eV per atom
* DOS at the Fermi energy: 2.464 states/eV per atom

=====

A geometry-optimized LuPuZnAu structure. Source: the Alexandria database, functional GGA-PBE.

Cell: 5.055 5.055 5.055 Å, 60.00 60.00 60.00°
Element x y z (fractional)
Au: 0.500 0.500 0.500
Lu: 0.750 0.750 0.750
Zn: 0.000 0.000 0.000
Pu: 0.250 0.250 0.250

## Properties
* density: 12.4 g cm⁻³
* total energy: -24.9 eV/cell
* formation energy from the elements: -0.374 eV per atom
* DOS at the Fermi energy: 2.394 states/eV per atom